## CuH3I (PBE)

Data for crystalline CuH3I at its relaxed geometry.

Cell and atoms, written as CIF:
```
data_CuH3I
_chemical_formula_sum 'Cu1 H3 I1'
_space_group_name_H-M_alt 'P m -3 m'
_space_group_IT_number 221
_space_group_name_Hall '-P 4 2 3'
_cell_length_a 4.063
_cell_length_b 4.063
_cell_length_c 4.063
_cell_angle_alpha 90.00
_cell_angle_beta 90.00
_cell_angle_gamma 90.00
loop_
_atom_site_label
_atom_site_type_symbol
_atom_site_fract_x
_atom_site_fract_y
_atom_site_fract_z
_atom_site_occupancy
Cu1 Cu 0.000 0.000 0.000 1
H1 H 0.000 0.500 0.500 1
I1 I 0.500 0.500 0.500 1
```

Values from the calculation:
E above lowest polymorph in meV/atom: 362.8
Spin magnetization in μB/f.u.: 0.0